No. 1
Below is crystalline Mg2CdC at its relaxed geometry, with properties calculated at the PBE level.

Results
energy of formation from the pure elements: 888 meV/atom
energy above the lowest structure with this stoichiometry: 331 meV per atom
crystal system: cubic

CIF file:
```
data_Mg2CdC
_cell_length_a 4.561
_cell_length_b 4.561
_cell_length_c 4.561
_cell_angle_alpha 60.00
_cell_angle_beta 60.00
_cell_angle_gamma 60.00
_space_group_name_H-M_alt 'P 1'
_space_group_IT_number 1
loop_
_space_group_symop_operation_xyz
'x,y,z'
loop_
_atom_site_label
_atom_site_fract_x
_atom_site_fract_y
_atom_site_fract_z
_atom_site_occupancy
Mg1 0.250 0.250 0.250 1
Mg2 0.750 0.750 0.750 1
Cd1 0.500 0.500 0.500 1
C1 0.000 0.000 0.000 1
```

---

No. 2
Below is crystalline MgCdC at its relaxed geometry, with properties calculated at the PBE level.

Results
energy of formation from the pure elements: 275 meV/atom
crystal system: monoclinic

CIF file:
```
data_MgCdC
_cell_length_a 3.350
_cell_length_b 3.357
_cell_length_c 11.229
_cell_angle_alpha 90.02
_cell_angle_beta 81.43
_cell_angle_gamma 120.07
_space_group_name_H-M_alt 'P 1'
_space_group_IT_number 1
loop_
_space_group_symop_operation_xyz
'x,y,z'
loop_
_atom_site_label
_atom_site_fract_x
_atom_site_fract_y
_atom_site_fract_z
_atom_site_occupancy
Cd1 0.484 0.036 0.923 1
Cd2 0.999 0.293 0.150 1
Mg1 0.514 0.551 0.376 1
Mg2 0.298 0.444 0.697 1
C1 0.033 0.811 0.594 1
C2 0.113 0.850 0.479 1
```

---

No. 3
Below is crystalline MgCdMo2C at its relaxed geometry, with properties calculated at the PBE level.

Results
energy of formation from the pure elements: 2533 meV/atom
crystal system: tetragonal

CIF file:
```
data_MgCdMo2C
_cell_length_a 5.240
_cell_length_b 3.902
_cell_length_c 5.240
_cell_angle_alpha 90.00
_cell_angle_beta 90.00
_cell_angle_gamma 90.00
_space_group_name_H-M_alt 'P 1'
_space_group_IT_number 1
loop_
_space_group_symop_operation_xyz
'x,y,z'
loop_
_atom_site_label
_atom_site_fract_x
_atom_site_fract_y
_atom_site_fract_z
_atom_site_occupancy
Mo1 0.500 0.000 0.000 1
Mo2 0.000 0.000 0.500 1
Mg1 0.500 0.500 0.500 1
Cd1 0.000 0.000 0.000 1
C1 0.000 0.500 0.000 1
```

---

No. 4
Below is crystalline Mg6CdCO8 at its relaxed geometry, with properties calculated at the PBE level.

Results
formation energy without anion corrections: -1802 meV/atom
energy above the lowest structure with this stoichiometry: 0 meV per atom
crystal system: tetragonal

CIF file:
```
data_Mg6CdCO8
_cell_length_a 4.329
_cell_length_b 4.329
_cell_length_c 8.648
_cell_angle_alpha 90.00
_cell_angle_beta 90.00
_cell_angle_gamma 90.00
_space_group_name_H-M_alt 'P 1'
_space_group_IT_number 1
loop_
_space_group_symop_operation_xyz
'x,y,z'
loop_
_atom_site_label
_atom_site_fract_x
_atom_site_fract_y
_atom_site_fract_z
_atom_site_occupancy
C1 0.000 0.000 0.500 1
Mg1 0.500 0.000 0.260 1
Mg2 0.000 0.500 0.740 1
Mg3 0.500 0.000 0.740 1
Mg4 0.000 0.500 0.260 1
Mg5 0.500 0.500 0.000 1
Mg6 0.500 0.500 0.500 1
Cd1 0.000 0.000 0.000 1
O1 0.500 0.500 0.748 1
O2 0.000 0.500 0.500 1
O3 0.500 0.000 0.000 1
O4 0.500 0.500 0.252 1
O5 0.000 0.000 0.269 1
O6 0.000 0.500 0.000 1
O7 0.000 0.000 0.731 1
O8 0.500 0.000 0.500 1
```